# CePu2Au

CePu2Au after structural relaxation (PBE, Alexandria).

Lattice parameters (Å, degrees): 5.133 5.133 5.133 60.00 60.00 60.00
Sites, in units of the cell vectors:
Au (0.500, 0.500, 0.500)
Ce (0.000, 0.000, 0.000)
Pu (0.250, 0.250, 0.250)
Pu (0.750, 0.750, 0.750)

Space-group type: Fm-3m, No. 225
Crystal system: cubic
E_form: -0.19 eV per atom
Final energy: -9.66 eV per atom
Distance to the lowest polymorph of the same formula: 0 meV per atom
Total magnetization: 13.215 μB per formula unit

# Ce12Pu2Au5

Ce12Pu2Au5 after structural relaxation (PBE, Alexandria).

Lattice parameters (Å, degrees): 6.859 8.564 9.938 115.44 110.19 90.00
Sites, in units of the cell vectors:
Ce (0.001, 0.823, 0.001)
Ce (0.864, 0.152, 0.303)
Ce (0.439, 0.152, 0.303)
Ce (0.853, 0.651, 0.302)
Ce (0.449, 0.651, 0.302)
Ce (0.500, 0.279, 0.000)
Ce (0.500, 0.721, 0.000)
Ce (0.147, 0.349, 0.698)
Ce (0.551, 0.349, 0.698)
Ce (0.136, 0.848, 0.697)
Ce (0.561, 0.848, 0.697)
Ce (0.999, 0.177, 0.999)
Pu (0.310, 0.000, 0.000)
Pu (0.690, 0.000, 0.000)
Au (0.772, 0.520, 0.544)
Au (0.772, 0.024, 0.545)
Au (0.000, 0.500, 0.000)
Au (0.228, 0.976, 0.455)
Au (0.228, 0.480, 0.456)

Space-group type: C2/m, No. 12
Crystal system: monoclinic
E_form: -0.21 eV per atom
Final energy: -6.33 eV per atom
Total magnetization: 8.935 μB per formula unit

# Ce2Pu2Au3

Ce2Pu2Au3 after structural relaxation (PBE, Alexandria).

Lattice parameters (Å, degrees): 3.552 3.610 14.291 90.00 82.86 90.00
Sites, in units of the cell vectors:
Ce (0.569, 0.500, 0.862)
Ce (0.431, 0.500, 0.138)
Pu (0.701, 0.500, 0.599)
Pu (0.299, 0.500, 0.401)
Au (0.864, 0.000, 0.272)
Au (0.000, 0.000, 0.000)
Au (0.136, 0.000, 0.728)

Space-group type: Cmmm, No. 65
Crystal system: orthorhombic
E_form: -0.35 eV per atom
Final energy: -7.54 eV per atom
Total magnetization: 10.310 μB per formula unit

# Ce2PuAu4

Ce2PuAu4 after structural relaxation (PBE, Alexandria).

Lattice parameters (Å, degrees): 5.708 5.708 6.866 114.56 114.56 90.00
Sites, in units of the cell vectors:
Ce (0.632, 0.632, 0.264)
Ce (0.368, 0.368, 0.736)
Pu (0.000, 0.000, 0.000)
Au (0.750, 0.250, 0.500)
Au (0.250, 0.750, 0.500)
Au (0.500, 0.000, 0.000)
Au (0.000, 0.500, 0.000)

Space-group type: I4/mmm, No. 139
Crystal system: tetragonal
E_form: -0.36 eV per atom
Final energy: -5.98 eV per atom
Distance to the lowest polymorph of the same formula: 89 meV per atom
Total magnetization: 3.859 μB per formula unit

# CePuAu2

CePuAu2 after structural relaxation (PBE, Alexandria).

Lattice parameters (Å, degrees): 5.189 5.189 5.189 60.00 60.00 60.00
Sites, in units of the cell vectors:
Au (0.250, 0.250, 0.250)
Au (0.750, 0.750, 0.750)
Ce (0.500, 0.500, 0.500)
Pu (0.000, 0.000, 0.000)

Space-group type: Fm-3m, No. 225
Crystal system: cubic
E_form: -0.51 eV per atom
Final energy: -7.21 eV per atom
Distance to the lowest polymorph of the same formula: 34 meV per atom
Total magnetization: 6.859 μB per formula unit

# CePuAu6

CePuAu6 after structural relaxation (PBE, Alexandria).

Lattice parameters (Å, degrees): 4.826 6.443 6.443 119.81 90.00 90.00
Sites, in units of the cell vectors:
Ce (0.500, 0.416, 0.584)
Pu (0.000, 0.084, 0.916)
Au (0.000, 0.061, 0.405)
Au (0.000, 0.595, 0.939)
Au (0.000, 0.593, 0.407)
Au (0.500, 0.437, 0.094)
Au (0.500, 0.906, 0.563)
Au (0.500, 0.907, 0.093)

Space-group type: Amm2, No. 38
Crystal system: orthorhombic
E_form: -0.47 eV per atom
Final energy: -5.46 eV per atom
Total magnetization: 4.519 μB per formula unit

# CePuAu4

CePuAu4 after structural relaxation (PBE, Alexandria).

Lattice parameters (Å, degrees): 4.260 5.616 7.021 70.08 90.01 89.99
Sites, in units of the cell vectors:
Ce (0.501, 0.497, 0.998)
Pu (0.001, 0.997, 0.498)
Au (0.501, 0.933, 0.218)
Au (0.501, 0.062, 0.779)
Au (0.001, 0.433, 0.715)
Au (0.001, 0.561, 0.281)

Space-group type: P2/m, No. 10
Crystal system: monoclinic
E_form: -0.37 eV per atom
Final energy: -5.93 eV per atom
Distance to the lowest polymorph of the same formula: 215 meV per atom
Total magnetization: 4.794 μB per formula unit

# CePuAu2

CePuAu2 after structural relaxation (PBE, Alexandria).

Lattice parameters (Å, degrees): 3.700 3.700 7.202 90.00 90.00 90.00
Sites, in units of the cell vectors:
Au (0.000, 0.000, 0.748)
Au (0.000, 0.000, 0.252)
Ce (0.500, 0.500, 0.500)
Pu (0.500, 0.500, 0.000)

Space-group type: P4/mmm, No. 123
Crystal system: tetragonal
E_form: -0.50 eV per atom
Final energy: -7.21 eV per atom
Distance to the lowest polymorph of the same formula: 38 meV per atom
Total magnetization: 6.718 μB per formula unit

# Ce9Pu4Au11

Ce9Pu4Au11 after structural relaxation (PBE, Alexandria).

Lattice parameters (Å, degrees): 3.771 13.034 13.034 114.24 90.00 90.00
Sites, in units of the cell vectors:
Ce (0.500, 0.618, 0.160)
Ce (0.500, 0.382, 0.840)
Ce (0.500, 0.160, 0.618)
Ce (0.500, 0.840, 0.382)
Ce (0.500, 0.784, 0.954)
Ce (0.500, 0.216, 0.046)
Ce (0.500, 0.954, 0.784)
Ce (0.500, 0.046, 0.216)
Ce (0.500, 0.500, 0.500)
Pu (0.500, 0.561, 0.757)
Pu (0.500, 0.439, 0.243)
Pu (0.500, 0.757, 0.561)
Pu (0.500, 0.243, 0.439)
Au (0.000, 0.595, 0.961)
Au (0.000, 0.405, 0.039)
Au (0.000, 0.961, 0.595)
Au (0.000, 0.039, 0.405)
Au (0.000, 0.630, 0.370)
Au (0.000, 0.370, 0.630)
Au (0.000, 0.828, 0.172)
Au (0.000, 0.172, 0.828)
Au (0.000, 0.000, 0.000)
Au (0.000, 0.730, 0.730)
Au (0.000, 0.270, 0.270)

Space-group type: Cmmm, No. 65
Crystal system: orthorhombic
E_form: -0.49 eV per atom
Final energy: -6.61 eV per atom
Total magnetization: 30.813 μB per formula unit

# CePuAu4

CePuAu4 after structural relaxation (PBE, Alexandria).

Lattice parameters (Å, degrees): 4.891 6.418 9.048 69.20 90.00 90.00
Sites, in units of the cell vectors:
Ce (0.750, 0.623, 0.253)
Ce (0.250, 0.377, 0.747)
Pu (0.750, 0.127, 0.247)
Pu (0.250, 0.873, 0.753)
Au (0.250, 0.798, 0.417)
Au (0.250, 0.960, 0.083)
Au (0.750, 0.715, 0.583)
Au (0.750, 0.543, 0.917)
Au (0.750, 0.202, 0.583)
Au (0.250, 0.285, 0.417)
Au (0.750, 0.040, 0.917)
Au (0.250, 0.457, 0.083)

Space-group type: Cmcm, No. 63
Crystal system: orthorhombic
E_form: -0.58 eV per atom
Final energy: -6.14 eV per atom
Distance to the lowest polymorph of the same formula: 0 meV per atom
Total magnetization: 7.059 μB per formula unit

# CePu6Au5

CePu6Au5 after structural relaxation (PBE, Alexandria).

Lattice parameters (Å, degrees): 5.354 6.664 9.182 111.27 106.95 90.00
Sites, in units of the cell vectors:
Au (0.652, 0.152, 0.305)
Au (0.334, 0.334, 0.668)
Au (0.000, 0.500, 0.000)
Au (0.666, 0.666, 0.332)
Au (0.348, 0.848, 0.695)
Ce (0.000, 0.000, 0.000)
Pu (0.826, 0.566, 0.652)
Pu (0.826, 0.086, 0.652)
Pu (0.500, 0.732, 0.000)
Pu (0.500, 0.268, 0.000)
Pu (0.174, 0.914, 0.348)
Pu (0.174, 0.434, 0.348)

Space-group type: Immm, No. 71
Crystal system: orthorhombic
E_form: -0.32 eV per atom
Final energy: -9.35 eV per atom
Total magnetization: 11.711 μB per formula unit

# Ce4Pu2Au5

Ce4Pu2Au5 after structural relaxation (PBE, Alexandria).

Lattice parameters (Å, degrees): 3.783 7.786 18.143 90.00 90.00 90.00
Sites, in units of the cell vectors:
Ce (0.500, 0.291, 0.566)
Ce (0.500, 0.709, 0.434)
Ce (0.500, 0.791, 0.934)
Ce (0.500, 0.209, 0.066)
Ce (0.500, 0.381, 0.855)
Ce (0.500, 0.619, 0.145)
Ce (0.500, 0.881, 0.645)
Ce (0.500, 0.119, 0.355)
Pu (0.500, 0.485, 0.304)
Pu (0.500, 0.515, 0.696)
Pu (0.500, 0.985, 0.196)
Pu (0.500, 0.015, 0.804)
Au (0.000, 0.500, 0.000)
Au (0.000, 0.000, 0.500)
Au (0.000, 0.296, 0.204)
Au (0.000, 0.704, 0.796)
Au (0.000, 0.796, 0.296)
Au (0.000, 0.204, 0.704)
Au (0.000, 0.380, 0.435)
Au (0.000, 0.620, 0.565)
Au (0.000, 0.880, 0.065)
Au (0.000, 0.120, 0.935)

Space-group type: Pbam, No. 55
Crystal system: orthorhombic
E_form: -0.48 eV per atom
Final energy: -6.73 eV per atom
Total magnetization: 14.976 μB per formula unit

# Ce5Pu2Au2

Ce5Pu2Au2 after structural relaxation (PBE, Alexandria).

Lattice parameters (Å, degrees): 6.964 6.969 9.509 111.49 90.00 90.00
Sites, in units of the cell vectors:
Ce (0.000, 0.000, 0.000)
Ce (0.500, 0.500, 0.000)
Ce (0.705, 0.925, 0.263)
Ce (0.295, 0.338, 0.263)
Ce (0.205, 0.838, 0.263)
Ce (0.795, 0.425, 0.263)
Ce (0.295, 0.075, 0.737)
Ce (0.705, 0.662, 0.737)
Ce (0.795, 0.162, 0.737)
Ce (0.205, 0.575, 0.737)
Pu (0.619, 0.882, 0.000)
Pu (0.381, 0.118, 0.000)
Pu (0.119, 0.618, 0.000)
Pu (0.881, 0.382, 0.000)
Au (0.000, 0.236, 0.472)
Au (0.500, 0.736, 0.472)
Au (0.000, 0.764, 0.528)
Au (0.500, 0.264, 0.528)

Space-group type: Cmce, No. 64
Crystal system: orthorhombic
E_form: -0.15 eV per atom
Final energy: -7.36 eV per atom
Distance to the lowest polymorph of the same formula: 30 meV per atom
Total magnetization: 2.204 μB per formula unit

# CePuAu2

CePuAu2 after structural relaxation (PBE, Alexandria).

Lattice parameters (Å, degrees): 3.677 4.993 10.530 90.00 90.00 90.00
Sites, in units of the cell vectors:
Ce (0.500, 0.250, 0.392)
Ce (0.500, 0.750, 0.608)
Pu (0.500, 0.250, 0.901)
Pu (0.500, 0.750, 0.099)
Au (0.000, 0.250, 0.153)
Au (0.000, 0.750, 0.847)
Au (0.000, 0.250, 0.655)
Au (0.000, 0.750, 0.345)

Space-group type: Pmma, No. 51
Crystal system: orthorhombic
E_form: -0.50 eV per atom
Final energy: -7.21 eV per atom
Distance to the lowest polymorph of the same formula: 41 meV per atom
Total magnetization: 6.437 μB per formula unit

# CePu2Au2

CePu2Au2 after structural relaxation (PBE, Alexandria).

Lattice parameters (Å, degrees): 3.722 3.722 9.579 90.00 90.00 120.00
Sites, in units of the cell vectors:
Ce (0.000, 0.000, 0.000)
Pu (0.333, 0.667, 0.556)
Pu (0.667, 0.333, 0.444)
Au (0.333, 0.667, 0.219)
Au (0.667, 0.333, 0.781)

Space-group type: P-3m1, No. 164
Crystal system: trigonal
E_form: -0.13 eV per atom
Final energy: -8.36 eV per atom
Distance to the lowest polymorph of the same formula: 233 meV per atom
Total magnetization: 0.738 μB per formula unit

# Ce4PuAu5

Ce4PuAu5 after structural relaxation (PBE, Alexandria).

Lattice parameters (Å, degrees): 3.747 3.747 17.772 90.00 90.00 90.00
Sites, in units of the cell vectors:
Ce (0.000, 0.000, 0.804)
Ce (0.000, 0.000, 0.601)
Ce (0.000, 0.000, 0.399)
Ce (0.000, 0.000, 0.196)
Pu (0.000, 0.000, 0.000)
Au (0.500, 0.500, 0.702)
Au (0.500, 0.500, 0.099)
Au (0.500, 0.500, 0.500)
Au (0.500, 0.500, 0.901)
Au (0.500, 0.500, 0.298)

Space-group type: P4/mmm, No. 123
Crystal system: tetragonal
E_form: -0.56 eV per atom
Final energy: -6.00 eV per atom
Total magnetization: 10.165 μB per formula unit

# Ce12PuAu6

Ce12PuAu6 after structural relaxation (PBE, Alexandria).

Lattice parameters (Å, degrees): 8.560 8.560 8.560 108.95 108.95 108.95
Sites, in units of the cell vectors:
Ce (0.438, 0.148, 0.578)
Ce (0.148, 0.578, 0.438)
Ce (0.578, 0.438, 0.148)
Ce (0.562, 0.852, 0.422)
Ce (0.852, 0.422, 0.562)
Ce (0.422, 0.562, 0.852)
Ce (0.296, 0.102, 0.824)
Ce (0.176, 0.704, 0.898)
Ce (0.898, 0.176, 0.704)
Ce (0.704, 0.898, 0.176)
Ce (0.824, 0.296, 0.102)
Ce (0.102, 0.824, 0.296)
Pu (0.000, 0.000, 0.000)
Au (0.098, 0.219, 0.459)
Au (0.781, 0.541, 0.902)
Au (0.541, 0.902, 0.781)
Au (0.902, 0.781, 0.541)
Au (0.219, 0.459, 0.098)
Au (0.459, 0.098, 0.219)

Space-group type: R-3, No. 148
Crystal system: trigonal
E_form: -0.28 eV per atom
Final energy: -5.81 eV per atom
Distance to the lowest polymorph of the same formula: 37 meV per atom
Total magnetization: 12.776 μB per formula unit

# Ce3PuAu4

Ce3PuAu4 after structural relaxation (PBE, Alexandria).

Lattice parameters (Å, degrees): 3.711 5.185 10.362 90.00 90.00 90.00
Sites, in units of the cell vectors:
Au (0.000, 0.000, 0.500)
Au (0.000, 0.500, 0.748)
Au (0.000, 0.000, 0.000)
Au (0.000, 0.500, 0.252)
Ce (0.500, 0.000, 0.245)
Ce (0.500, 0.500, 0.500)
Ce (0.500, 0.000, 0.755)
Pu (0.500, 0.500, 0.000)

Space-group type: Pmmm, No. 47
Crystal system: orthorhombic
E_form: -0.55 eV per atom
Final energy: -6.20 eV per atom
Total magnetization: 8.822 μB per formula unit

# Ce10PuAu4

Ce10PuAu4 after structural relaxation (PBE, Alexandria).

Lattice parameters (Å, degrees): 6.964 8.570 8.570 80.50 66.03 66.03
Sites, in units of the cell vectors:
Ce (0.250, 0.500, 0.500)
Ce (0.676, 0.273, 0.920)
Ce (0.051, 0.080, 0.273)
Ce (0.404, 0.920, 0.727)
Ce (0.869, 0.727, 0.080)
Ce (0.324, 0.727, 0.080)
Ce (0.750, 0.500, 0.500)
Ce (0.131, 0.273, 0.920)
Ce (0.596, 0.080, 0.273)
Ce (0.949, 0.920, 0.727)
Pu (0.000, 0.000, 0.000)
Au (0.401, 0.799, 0.399)
Au (0.800, 0.601, 0.799)
Au (0.200, 0.399, 0.201)
Au (0.599, 0.201, 0.601)

Space-group type: I4/m, No. 87
Crystal system: tetragonal
E_form: -0.08 eV per atom
Final energy: -5.87 eV per atom
Total magnetization: 6.695 μB per formula unit

# Ce2PuAu3

Ce2PuAu3 after structural relaxation (PBE, Alexandria).

Lattice parameters (Å, degrees): 3.622 3.622 11.376 90.00 90.00 90.00
Sites, in units of the cell vectors:
Ce (0.500, 0.500, 0.831)
Ce (0.500, 0.500, 0.169)
Pu (0.500, 0.500, 0.500)
Au (0.000, 0.000, 0.000)
Au (0.000, 0.000, 0.667)
Au (0.000, 0.000, 0.333)

Space-group type: P4/mmm, No. 123
Crystal system: tetragonal
E_form: -0.53 eV per atom
Final energy: -6.54 eV per atom
Total magnetization: 3.734 μB per formula unit

# Ce3PuAu

Ce3PuAu after structural relaxation (PBE, Alexandria).

Lattice parameters (Å, degrees): 5.722 6.525 7.121 90.00 99.56 90.00
Sites, in units of the cell vectors:
Ce (0.212, 0.997, 0.832)
Ce (0.788, 0.497, 0.168)
Ce (0.322, 0.750, 0.385)
Ce (0.678, 0.250, 0.615)
Ce (0.788, 0.003, 0.168)
Ce (0.212, 0.503, 0.832)
Pu (0.115, 0.250, 0.556)
Pu (0.885, 0.750, 0.444)
Au (0.312, 0.250, 0.205)
Au (0.688, 0.750, 0.795)

Space-group type: P2_1/m, No. 11
Crystal system: monoclinic
E_form: -0.22 eV per atom
Final energy: -7.30 eV per atom
Distance to the lowest polymorph of the same formula: 0 meV per atom
Total magnetization: 4.591 μB per formula unit